# Ti6Sb2H | Alexandria via LeMat-Bulk | GGA-PBE | optimized geometry
# DOS at the Fermi energy ... 11.265 states/eV/f.u.
# VASP energy ... -250.7 eV for the cell shown
# E above lowest polymorph ... 0.0 meV/atom
data_Ti6Sb2H
_symmetry_space_group_name_H-M 'F m -3 m'
_symmetry_Int_Tables_number 225
_symmetry_space_group_name_Hall '-F 4 2 3'
_cell_length_a 8.3013
_cell_length_b 8.3013
_cell_length_c 8.3013
_cell_angle_alpha 90.00
_cell_angle_beta 90.00
_cell_angle_gamma 90.00
loop_
_atom_site_label
_atom_site_fract_x
_atom_site_fract_y
_atom_site_fract_z
Ti1 0.0000 0.0000 0.2478
Sb1 0.2500 0.2500 0.2500
H1 0.0000 0.0000 0.5000